1.
Material: CsSc2VIr
Method: DFT, PBE
State: relaxed

POSCAR file:
```
CsSc2VIr
1.0
-4.142 -0.931 -3.081
-2.399 -1.434 3.659
-1.699 4.897 0.805
Cs Sc Ir V
1 2 1 1
direct
0.500 0.500 0.500
0.000 0.000 0.500
0.500 0.000 0.000
0.000 0.500 0.000
0.000 0.000 0.000
```

- Crystal system: tetragonal
- DFT formation energy: 322.0 kJ/mol of formula units
- Calculated volume: 25.3 Å³/atom
- E_tot: -28.159 eV for the cell shown
- ρ: 6.1 g cm⁻³

---

2.
Material: Cs2RbSbSe4
Method: DFT, PBE
State: relaxed

POSCAR file:
```
Cs2RbSbSe4
1.0
7.686 0.000 0.000
3.843 7.305 0.000
3.843 0.000 13.931
Cs Rb Sb Se
4 2 2 8
direct
0.191 0.000 0.618
0.809 0.000 0.382
0.559 0.500 0.882
0.941 0.500 0.118
0.750 0.500 0.500
0.000 0.000 0.000
0.250 0.500 0.500
0.500 0.000 0.000
0.379 0.787 0.105
0.271 0.213 0.895
0.834 0.787 0.895
0.516 0.213 0.105
0.371 0.713 0.395
0.479 0.287 0.605
0.916 0.713 0.605
0.234 0.287 0.395
```

- Raw formation energy: -0.75 eV/atom
- Crystal system: orthorhombic
- Calculated volume: 48.9 Å³/atom
- E_tot: -53.539 eV for the cell shown
- ρ: 3.3 g cm⁻³

---

3.
Material: BaZr2
Method: DFT, PBE
State: relaxed

POSCAR file:
```
BaZr2
1.0
6.238 -4.372 5.779
-0.022 -4.271 8.554
-3.820 1.326 -8.664
Ba Zr
2 4
direct
0.000 0.000 0.000
0.750 0.250 0.500
0.589 0.589 0.000
0.161 0.661 0.500
0.411 0.411 0.000
0.339 0.839 0.500
```

- Crystal system: tetragonal
- DFT formation energy: 275.1 kJ/mol of formula units
- Calculated volume: 34.9 Å³/atom
- E_tot: -32.335 eV for the cell shown
- ρ: 5.1 g cm⁻³

---

4.
Material: Rb2CaTcO6
Method: DFT, PBE
State: relaxed

POSCAR file:
```
Rb2CaTcO6
1.0
5.897 0.000 0.000
0.000 6.446 0.000
0.000 -3.223 5.582
Rb Ca Tc O
2 1 1 6
direct
0.127 0.333 0.667
0.873 0.667 0.333
0.500 0.000 0.000
0.000 0.000 0.000
0.806 0.136 0.272
0.806 0.136 0.864
0.806 0.728 0.864
0.194 0.864 0.136
0.194 0.272 0.136
0.194 0.864 0.728
```

- Raw formation energy: -1.57 eV/atom
- Crystal system: trigonal
- Calculated volume: 21.2 Å³/atom
- E_tot: -59.799 eV for the cell shown
- ρ: 3.2 g cm⁻³

---

5.
Material: Ho2Er3Si4
Method: DFT, PBE
State: relaxed

POSCAR file:
```
Ho2Er3Si4
1.0
-5.023 0.191 -5.334
-3.294 -3.267 6.006
-2.337 6.851 2.446
Ho Er Si
4 6 8
direct
0.584 0.198 0.320
0.916 0.802 0.820
0.416 0.802 0.680
0.084 0.198 0.180
0.000 0.500 0.500
0.500 0.500 0.000
0.752 0.244 0.819
0.748 0.756 0.319
0.248 0.756 0.181
0.252 0.244 0.681
0.873 0.080 0.529
0.627 0.920 0.029
0.127 0.920 0.471
0.373 0.080 0.971
0.876 0.488 0.122
0.624 0.512 0.622
0.124 0.512 0.878
0.376 0.488 0.378
```

- Raw formation energy: -0.75 eV/atom
- Crystal system: monoclinic
- Calculated volume: 22.6 Å³/atom
- E_tot: -102.619 eV for the cell shown
- ρ: 7.7 g cm⁻³

---

6.
Material: ErHgH
Method: DFT, PBE
State: relaxed

POSCAR file:
```
ErHgH
1.0
3.700 -0.447 -0.001
0.444 3.700 -0.001
0.003 0.002 7.500
Er Hg H
2 2 2
direct
0.980 0.993 0.040
0.481 0.493 0.718
0.981 0.993 0.492
0.480 0.493 0.266
0.481 0.993 0.879
0.981 0.493 0.879
```

- Crystal system: tetragonal
- Calculated volume: 17.4 Å³/atom
- E_tot: -19.679 eV for the cell shown
- ρ: 11.8 g cm⁻³

---

7.
Material: HoTmMo2N6
Method: DFT, PBE
State: relaxed

POSCAR file:
```
HoTmMo2N6
1.0
6.267 0.083 0.086
2.101 7.046 0.435
2.101 0.174 7.057
Ho Tm Mo N
2 2 4 12
direct
0.250 0.911 0.089
0.750 0.089 0.911
0.250 0.287 0.713
0.750 0.713 0.287
0.283 0.799 0.620
0.217 0.380 0.201
0.717 0.201 0.380
0.783 0.620 0.799
0.157 0.000 0.781
0.343 0.219 0.000
0.843 0.000 0.219
0.657 0.781 0.000
0.338 0.883 0.374
0.162 0.626 0.117
0.662 0.117 0.626
0.838 0.374 0.883
0.089 0.624 0.666
0.411 0.334 0.376
0.911 0.376 0.334
0.589 0.666 0.624
```

- Raw formation energy: -0.91 eV/atom
- Crystal system: monoclinic
- Calculated volume: 15.4 Å³/atom
- E_tot: -179.586 eV for the cell shown
- ρ: 6.6 g cm⁻³

---

8.
Material: NdAgGe2
Method: DFT, PBE
State: relaxed

POSCAR file:
```
NdAgGe2
1.0
-1.559 2.555 -3.184
-2.864 -9.140 -5.932
-12.677 -0.037 6.177
Nd Ag Ge
8 8 16
direct
0.750 0.461 0.702
0.250 0.961 0.798
0.250 0.539 0.298
0.750 0.039 0.202
0.750 0.247 0.952
0.250 0.747 0.548
0.250 0.753 0.048
0.750 0.253 0.452
0.750 0.545 0.941
0.250 0.045 0.559
0.250 0.455 0.059
0.750 0.955 0.441
0.750 0.332 0.206
0.250 0.832 0.294
0.250 0.668 0.794
0.750 0.168 0.706
0.750 0.976 0.958
0.250 0.476 0.542
0.250 0.024 0.042
0.750 0.524 0.458
0.750 0.771 0.890
0.250 0.271 0.610
0.250 0.229 0.110
0.750 0.729 0.390
0.750 0.747 0.704
0.250 0.247 0.796
0.250 0.253 0.296
0.750 0.753 0.204
0.750 0.950 0.634
0.250 0.450 0.866
0.250 0.050 0.366
0.750 0.550 0.134
```

- Crystal system: orthorhombic
- DFT formation energy: -185.0 kJ/mol of formula units
- Calculated volume: 21.7 Å³/atom
- E_tot: -150.173 eV for the cell shown
- ρ: 7.6 g cm⁻³